Entry 1:
Compound: Mg6NbCoO8
Source: the Alexandria database
Functional: PBE with a Hubbard U
Structure: relaxed

As for the crystal system: tetragonal. Its polymorph energy (0 for the lowest one) is 30 meV per atom. Its final energy is -6.261 eV/atom.

The structure belongs to space group P4/mmm (No. 123); the cell edges are 4.298, 4.298 and 8.805 Å and the angles 90.00°, 90.00° and 90.00°. Symmetry generates all atoms from Mg at (0.000, 0.000, 0.000), Mg at (0.000, 0.000, 0.500), Mg at (0.000, 0.500, 0.232), Nb at (0.500, 0.500, 0.500), Co at (0.500, 0.500, 0.000), O at (0.000, 0.000, 0.252), O at (0.000, 0.500, 0.000), O at (0.000, 0.500, 0.500) and O at (0.500, 0.500, 0.257).

=====

Entry 2:
Compound: Mg6NbCoO8
Source: the Alexandria database
Functional: PBE with a Hubbard U
Structure: relaxed

As for the crystal system: tetragonal. Its polymorph energy (0 for the lowest one) is 0 meV per atom. Its final energy is -6.291 eV/atom.

The structure belongs to space group P4/mmm (No. 123); the cell edges are 4.278, 4.278 and 8.773 Å and the angles 90.00°, 90.00° and 90.00°. Symmetry generates all atoms from Mg at (0.000, 0.000, 0.000), Mg at (0.000, 0.500, 0.245), Mg at (0.500, 0.500, 0.000), Nb at (0.000, 0.000, 0.500), Co at (0.500, 0.500, 0.500), O at (0.000, 0.000, 0.243), O at (0.000, 0.500, 0.000), O at (0.000, 0.500, 0.500) and O at (0.500, 0.500, 0.238).